[1]
The following is a PBE calculation of Li7Mg3Cu after structural relaxation, from Alexandria via LeMat-Bulk.

Output
VASP energy = -1.991 eV per atom
theoretical density = 1.5 g/cm3
Fermi-level density of states = 0.36 states/eV per atom
volume = 829.90 Å³ per cell
calculated formation energy = 0.37 eV/f.u.
crystal system = orthorhombic

Lattice parameters (Å, degrees): 2.948 20.691 13.605 90.00 90.00 90.00
Space group Cmcm (No. 63)
Symmetry-distinct sites (fractional):
Li1 0.000 0.007 0.094 (multiplicity 8)
Li2 0.000 0.077 0.750 (multiplicity 4)
Li3 0.000 0.127 0.154 (multiplicity 8)
Li4 0.000 0.238 0.079 (multiplicity 8)
Mg1 0.000 0.215 0.750 (multiplicity 4)
Mg2 0.000 0.376 0.053 (multiplicity 8)
Cu1 0.000 0.464 0.750 (multiplicity 4)

=====

[2]
The following is a PBE calculation of Li5MgCu after structural relaxation, from Alexandria via LeMat-Bulk.

Output
VASP energy = -2.097 eV per atom
theoretical density = 1.5 g/cm3
Fermi-level density of states = 0.37 states/eV per atom
volume = 132.05 Å³ per cell
calculated formation energy = 0.58 eV/f.u.
crystal system = tetragonal

Lattice parameters (Å, degrees): 3.983 3.983 8.322 90.00 90.00 90.00
Space group P4/mmm (No. 123)
Symmetry-distinct sites (fractional):
Li1 0.000 0.000 0.000 (multiplicity 1)
Li2 0.000 0.500 0.227 (multiplicity 4)
Mg1 0.000 0.000 0.500 (multiplicity 1)
Cu1 0.500 0.500 0.000 (multiplicity 1)

=====

[3]
The following is a PBE calculation of Li2MgCu after structural relaxation, from Alexandria via LeMat-Bulk.

Output
VASP energy = -2.401 eV per atom
theoretical density = 2.6 g/cm3
Fermi-level density of states = 0.34 states/eV per atom
volume = 65.27 Å³ per cell
calculated formation energy = -0.09 eV/f.u.
crystal system = orthorhombic

Lattice parameters (Å, degrees): 3.639 4.148 4.324 90.00 90.00 90.00
Space group Pmmm (No. 47)
Symmetry-distinct sites (fractional):
Li1 0.000 0.000 0.000 (multiplicity 1)
Li2 0.500 0.500 0.000 (multiplicity 1)
Mg1 0.000 0.500 0.500 (multiplicity 1)
Cu1 0.500 0.000 0.500 (multiplicity 1)

=====

[4]
The following is a PBE calculation of Li2Mg2Cu after structural relaxation, from Alexandria via LeMat-Bulk.

Output
VASP energy = -2.098 eV per atom
theoretical density = 2.1 g/cm3
Fermi-level density of states = 0.42 states/eV per atom
volume = 202.14 Å³ per cell
calculated formation energy = 0.62 eV/f.u.
crystal system = tetragonal

Lattice parameters (Å, degrees): 6.814 6.814 4.353 90.00 90.00 90.00
Space group P4/mbm (No. 127)
Symmetry-distinct sites (fractional):
Li1 0.162 0.338 0.000 (multiplicity 4)
Mg1 0.153 0.653 0.500 (multiplicity 4)
Cu1 0.000 0.000 0.500 (multiplicity 2)

=====

[5]
The following is a PBE calculation of Li2Mg4Cu after structural relaxation, from Alexandria via LeMat-Bulk.

Output
VASP energy = -2.037 eV per atom
theoretical density = 2.2 g/cm3
Fermi-level density of states = 0.35 states/eV per atom
volume = 396.27 Å³ per cell
calculated formation energy = 0.04 eV/f.u.
crystal system = trigonal

Lattice parameters (Å, degrees): 4.7727 4.7727 20.0878 90.00 90.00 120.00
Space group R-3m (No. 166, hexagonal axes)
Symmetry-distinct sites (fractional):
Li1 0.0000 0.0000 0.2165 (multiplicity 6)
Mg1 0.0000 0.0000 0.0825 (multiplicity 6)
Mg2 0.0000 0.0000 0.3641 (multiplicity 6)
Cu1 0.0000 0.0000 0.5000 (multiplicity 3)

=====

[6]
The following is a PBE calculation of LiMgCu after structural relaxation, from Alexandria via LeMat-Bulk.

Output
VASP energy = -2.473 eV per atom
theoretical density = 3.2 g/cm3
Fermi-level density of states = 0.32 states/eV per atom
volume = 49.82 Å³ per cell
calculated formation energy = 0.19 eV/f.u.
crystal system = trigonal

Lattice parameters (Å, degrees): 2.9212 2.9212 6.7416 90.00 90.00 120.00
Space group P3m1 (No. 156)
Symmetry-distinct sites (fractional):
Li1 0.0000 0.0000 0.0000 (multiplicity 1)
Mg1 0.6667 0.3333 0.3771 (multiplicity 1)
Cu1 0.3333 0.6667 0.6974 (multiplicity 1)

=====

[7]
The following is a PBE calculation of Li3MgCu after structural relaxation, from Alexandria via LeMat-Bulk.

Output
VASP energy = -1.573 eV per atom
theoretical density = 1.5 g/cm3
Fermi-level density of states = 0.49 states/eV per atom
volume = 119.59 Å³ per cell
calculated formation energy = 3.57 eV/f.u.
crystal system = cubic

Lattice parameters (Å, degrees): 4.927 4.927 4.927 90.00 90.00 90.00
Space group Pm-3m (No. 221)
Symmetry-distinct sites (fractional):
Li1 0.000 0.000 0.500 (multiplicity 3)
Mg1 0.000 0.000 0.000 (multiplicity 1)
Cu1 0.500 0.500 0.500 (multiplicity 1)

=====

[8]
The following is a PBE calculation of Li2MgCu2 after structural relaxation, from Alexandria via LeMat-Bulk.

Output
VASP energy = -2.770 eV per atom
theoretical density = 3.5 g/cm3
Fermi-level density of states = 0.34 states/eV per atom
volume = 313.13 Å³ per cell
calculated formation energy = -0.24 eV/f.u.
crystal system = monoclinic

Lattice parameters (Å, degrees): 7.150 7.256 6.050 90.00 94.03 90.00
Space group C2/c (No. 15)
Symmetry-distinct sites (fractional):
Li1 0.171 0.067 0.009 (multiplicity 8)
Mg1 0.000 0.383 0.250 (multiplicity 4)
Cu1 0.141 0.274 0.647 (multiplicity 8)

=====

[9]
The following is a PBE calculation of Li2Mg2Cu after structural relaxation, from Alexandria via LeMat-Bulk.

Output
VASP energy = -2.185 eV per atom
theoretical density = 2.1 g/cm3
Fermi-level density of states = 0.49 states/eV per atom
volume = 398.97 Å³ per cell
calculated formation energy = 0.19 eV/f.u.
crystal system = tetragonal

Lattice parameters (Å, degrees): 4.406 4.406 20.548 90.00 90.00 90.00
Space group I4_1/amd (No. 141, origin choice 2)
Symmetry-distinct sites (fractional):
Li1 0.000 0.250 0.046 (multiplicity 8)
Mg1 0.000 0.250 0.191 (multiplicity 8)
Cu1 0.000 0.250 0.875 (multiplicity 4)

=====

[10]
The following is a PBE calculation of Li12Mg2Cu after structural relaxation, from Alexandria via LeMat-Bulk.

Output
VASP energy = -1.911 eV per atom
theoretical density = 1.1 g/cm3
Fermi-level density of states = 0.36 states/eV per atom
volume = 602.14 Å³ per cell
calculated formation energy = 1.59 eV/f.u.
crystal system = tetragonal

Lattice parameters (Å, degrees): 5.636 5.636 18.954 90.00 90.00 90.00
Space group P4/nbm (No. 125, origin choice 2)
Symmetry-distinct sites (fractional):
Li1 0.000 0.000 0.082 (multiplicity 8)
Li2 0.072 0.572 0.434 (multiplicity 8)
Li3 0.250 0.250 0.195 (multiplicity 4)
Li4 0.250 0.250 0.332 (multiplicity 4)
Mg1 0.250 0.750 0.265 (multiplicity 4)
Cu1 0.250 0.750 0.000 (multiplicity 2)

=====

[11]
The following is a PBE calculation of Li2MgCu2 after structural relaxation, from Alexandria via LeMat-Bulk.

Output
VASP energy = -2.712 eV per atom
theoretical density = 3.8 g/cm3
Fermi-level density of states = 0.43 states/eV per atom
volume = 145.74 Å³ per cell
calculated formation energy = 0.06 eV/f.u.
crystal system = tetragonal

Lattice parameters (Å, degrees): 7.255 7.255 2.769 90.00 90.00 90.00
Space group P4/mbm (No. 127)
Symmetry-distinct sites (fractional):
Li1 0.124 0.376 0.000 (multiplicity 4)
Mg1 0.000 0.000 0.000 (multiplicity 2)
Cu1 0.173 0.673 0.500 (multiplicity 4)

=====

[12]
The following is a PBE calculation of LiMg4Cu after structural relaxation, from Alexandria via LeMat-Bulk.

Output
VASP energy = -1.826 eV per atom
theoretical density = 2.2 g/cm3
Fermi-level density of states = 0.58 states/eV per atom
volume = 518.03 Å³ per cell
calculated formation energy = 1.43 eV/f.u.
crystal system = cubic

Lattice parameters (Å, degrees): 8.031 8.031 8.031 90.00 90.00 90.00
Space group F-43m (No. 216)
Symmetry-distinct sites (fractional):
Li1 0.000 0.000 0.000 (multiplicity 4)
Mg1 0.124 0.124 0.624 (multiplicity 16)
Cu1 0.250 0.250 0.250 (multiplicity 4)

=====

[13]
The following is a PBE calculation of Li2MgCu after structural relaxation, from Alexandria via LeMat-Bulk.

Output
VASP energy = -2.402 eV per atom
theoretical density = 2.4 g/cm3
Fermi-level density of states = 0.33 states/eV per atom
volume = 138.23 Å³ per cell
calculated formation energy = -0.09 eV/f.u.
crystal system = monoclinic

Lattice parameters (Å, degrees): 3.977 7.586 4.988 90.00 113.29 90.00
Space group P2_1/m (No. 11)
Symmetry-distinct sites (fractional):
Li1 0.145 0.060 0.291 (multiplicity 4)
Mg1 0.446 0.250 0.892 (multiplicity 2)
Cu1 0.255 0.750 0.511 (multiplicity 2)

=====

[14]
The following is a PBE calculation of Li8MgCu4 after structural relaxation, from Alexandria via LeMat-Bulk.

Output
VASP energy = -2.583 eV per atom
theoretical density = 2.7 g/cm3
Fermi-level density of states = 0.35 states/eV per atom
volume = 406.51 Å³ per cell
calculated formation energy = -0.29 eV/f.u.
crystal system = tetragonal

Lattice parameters (Å, degrees): 9.091 9.091 4.919 90.00 90.00 90.00
Space group I4/mmm (No. 139)
Symmetry-distinct sites (fractional):
Li1 0.000 0.211 0.000 (multiplicity 8)
Li2 0.000 0.340 0.500 (multiplicity 8)
Mg1 0.000 0.000 0.500 (multiplicity 2)
Cu1 0.250 0.250 0.250 (multiplicity 8)

=====

[15]
The following is a PBE calculation of LiMg6Cu6 after structural relaxation, from Alexandria via LeMat-Bulk.

Output
VASP energy = -2.881 eV per atom
theoretical density = 4.2 g/cm3
Fermi-level density of states = 0.32 states/eV per atom
volume = 426.88 Å³ per cell
calculated formation energy = -1.39 eV/f.u.
crystal system = orthorhombic

Lattice parameters (Å, degrees): 5.222 9.001 9.082 90.00 90.00 90.00
Space group Immm (No. 71)
Symmetry-distinct sites (fractional):
Li1 0.000 0.000 0.000 (multiplicity 2)
Mg1 0.000 0.000 0.325 (multiplicity 4)
Mg2 0.000 0.328 0.500 (multiplicity 4)
Mg3 0.000 0.337 0.000 (multiplicity 4)
Cu1 0.000 0.500 0.257 (multiplicity 4)
Cu2 0.250 0.250 0.250 (multiplicity 8)

=====

[16]
The following is a PBE calculation of LiMg3Cu after structural relaxation, from Alexandria via LeMat-Bulk.

Output
VASP energy = -2.216 eV per atom
theoretical density = 2.5 g/cm3
Fermi-level density of states = 0.33 states/eV per atom
volume = 188.64 Å³ per cell
calculated formation energy = -0.29 eV/f.u.
crystal system = monoclinic

Lattice parameters (Å, degrees): 4.615 4.627 9.124 90.00 104.50 90.00
Space group P2_1/m (No. 11)
Symmetry-distinct sites (fractional):
Li1 0.054 0.250 0.108 (multiplicity 2)
Mg1 0.166 0.750 0.332 (multiplicity 2)
Mg2 0.334 0.750 0.669 (multiplicity 2)
Mg3 0.447 0.250 0.894 (multiplicity 2)
Cu1 0.251 0.250 0.501 (multiplicity 2)

=====

[17]
The following is a PBE calculation of LiMg2Cu2 after structural relaxation, from Alexandria via LeMat-Bulk.

Output
VASP energy = -2.718 eV per atom
theoretical density = 3.6 g/cm3
Fermi-level density of states = 0.41 states/eV per atom
volume = 169.39 Å³ per cell
calculated formation energy = -0.29 eV/f.u.
crystal system = tetragonal

Lattice parameters (Å, degrees): 7.138 7.138 3.324 90.00 90.00 90.00
Space group P4/mbm (No. 127)
Symmetry-distinct sites (fractional):
Li1 0.000 0.000 0.000 (multiplicity 2)
Mg1 0.169 0.331 0.500 (multiplicity 4)
Cu1 0.125 0.625 0.000 (multiplicity 4)

=====

[18]
The following is a PBE calculation of Li5MgCu after structural relaxation, from Alexandria via LeMat-Bulk.

Output
VASP energy = -2.144 eV per atom
theoretical density = 1.6 g/cm3
Fermi-level density of states = 0.42 states/eV per atom
volume = 495.53 Å³ per cell
calculated formation energy = 0.25 eV/f.u.
crystal system = monoclinic

Lattice parameters (Å, degrees): 7.071 7.066 10.080 90.00 100.30 90.00
Space group C2/c (No. 15)
Symmetry-distinct sites (fractional):
Li1 0.000 0.053 0.250 (multiplicity 4)
Li2 0.160 0.363 0.070 (multiplicity 8)
Li3 0.216 0.325 0.379 (multiplicity 8)
Mg1 0.000 0.350 0.750 (multiplicity 4)
Cu1 0.000 0.000 0.000 (multiplicity 4)

=====

[19]
The following is a PBE calculation of Li5MgCu2 after structural relaxation, from Alexandria via LeMat-Bulk.

Output
VASP energy = -2.424 eV per atom
theoretical density = 2.4 g/cm3
Fermi-level density of states = 0.28 states/eV per atom
volume = 253.31 Å³ per cell
calculated formation energy = -0.04 eV/f.u.
crystal system = orthorhombic

Lattice parameters (Å, degrees): 5.749 11.427 3.856 90.00 90.00 90.00
Space group Pbam (No. 55)
Symmetry-distinct sites (fractional):
Li1 0.000 0.000 0.000 (multiplicity 2)
Li2 0.014 0.246 0.000 (multiplicity 4)
Li3 0.235 0.866 0.500 (multiplicity 4)
Mg1 0.000 0.500 0.000 (multiplicity 2)
Cu1 0.242 0.622 0.500 (multiplicity 4)

=====

[20]
The following is a PBE calculation of Li6Mg2Cu after structural relaxation, from Alexandria via LeMat-Bulk.

Output
VASP energy = -2.070 eV per atom
theoretical density = 1.5 g/cm3
Fermi-level density of states = 0.40 states/eV per atom
volume = 340.70 Å³ per cell
calculated formation energy = 0.14 eV/f.u.
crystal system = orthorhombic

Lattice parameters (Å, degrees): 3.056 13.905 8.019 90.00 90.00 90.00
Space group Amm2 (No. 38)
Symmetry-distinct sites (fractional):
Li1 0.000 0.000 0.000 (multiplicity 2)
Li2 0.000 0.132 0.601 (multiplicity 4)
Li3 0.500 0.000 0.374 (multiplicity 2)
Li4 0.500 0.179 0.913 (multiplicity 4)
Mg1 0.000 0.167 0.234 (multiplicity 4)
Cu1 0.500 0.000 0.734 (multiplicity 2)